Entry 1:
{
  "formula": "Dy6Ho3Zr",
  "functional": "PBE-GGA",
  "state": "optimized geometry",
  "delta_e_f_ev_per_atom": 0.1535,
  "m_tot_mub_per_atom": 0.0002,
  "dos_at_fermi_per_ev_fu": 13.52,
  "relative_energy_mev_per_atom": 0.0,
  "dft_energy_ev_per_atom": -4.84,
  "lattice_angstrom": [[5.4391, -9.3811, 0.0000], [5.4391, 9.3811, 0.0000], [0.0000, 0.0000, 6.0904]],
  "species": ["Dy", "Dy", "Dy", "Dy", "Dy", "Dy", "Dy", "Dy", "Dy", "Dy", "Dy", "Dy", "Ho", "Ho", "Ho", "Ho", "Ho", "Ho", "Zr", "Zr"],
  "frac_coords": [[0.0461, 0.4613, 0.9556], [0.0508, 0.9492, 0.5000], [0.2736, 0.7264, 0.2284], [0.2947, 0.3802, 0.1153], [0.3802, 0.2947, 0.6153], [0.4613, 0.0461, 0.4556], [0.5387, 0.9539, 0.9556], [0.6198, 0.7053, 0.1153], [0.7053, 0.6198, 0.6153], [0.7264, 0.2736, 0.7284], [0.9492, 0.0508, 0.0000], [0.9539, 0.5387, 0.4556], [0.0557, 0.2815, 0.5219], [0.2815, 0.0557, 0.0219], [0.3850, 0.6150, 0.6468], [0.6150, 0.3850, 0.1468], [0.7185, 0.9443, 0.5219], [0.9443, 0.7185, 0.0219], [0.2083, 0.7917, 0.7280], [0.7917, 0.2083, 0.2280]]
}

---

Entry 2:
{
  "formula": "Dy4Ho5Zr",
  "functional": "PBE-GGA",
  "state": "optimized geometry",
  "delta_e_f_ev_per_atom": 0.0457,
  "m_tot_mub_per_atom": 0.0000,
  "dos_at_fermi_per_ev_fu": 13.08,
  "relative_energy_mev_per_atom": 0.0,
  "dft_energy_ev_per_atom": -4.94,
  "lattice_angstrom": [[3.4908, 0.0000, 0.0000], [-1.7446, 9.0850, 0.0000], [-0.0182, -2.6872, 9.4969]],
  "species": ["Dy", "Dy", "Dy", "Dy", "Ho", "Ho", "Ho", "Ho", "Ho", "Zr"],
  "frac_coords": [[0.0948, 0.1920, 0.3070], [0.0971, 0.1938, 0.7891], [0.9029, 0.8062, 0.2109], [0.9052, 0.8080, 0.6930], [0.3005, 0.6008, 0.9001], [0.3029, 0.6047, 0.4013], [0.5000, 0.0000, 0.0000], [0.6971, 0.3953, 0.5987], [0.6995, 0.3992, 0.0999], [0.5000, 0.0000, 0.5000]]
}

---

Entry 3:
{
  "formula": "Dy7Ho4Zr",
  "functional": "PBE-GGA",
  "state": "optimized geometry",
  "delta_e_f_ev_per_atom": 0.0260,
  "m_tot_mub_per_atom": 0.0000,
  "dos_at_fermi_per_ev_fu": 16.21,
  "dft_energy_ev_per_atom": -4.90,
  "lattice_angstrom": [[6.1144, 0.0000, 0.0000], [0.0029, 7.0731, 0.0000], [2.0399, 0.0008, 8.4542]],
  "species": ["Dy", "Dy", "Dy", "Dy", "Dy", "Dy", "Dy", "Ho", "Ho", "Ho", "Ho", "Zr"],
  "frac_coords": [[0.0000, 0.0000, 0.0000], [0.2254, 0.9999, 0.3369], [0.2739, 0.7446, 0.6715], [0.5000, 0.2577, 0.0000], [0.5000, 0.7423, 0.0000], [0.7261, 0.2554, 0.3285], [0.7746, 0.0001, 0.6631], [0.2167, 0.5000, 0.3269], [0.2739, 0.2555, 0.6720], [0.7261, 0.7445, 0.3280], [0.7833, 0.5000, 0.6731], [0.0000, 0.5000, 0.0000]]
}

---

Entry 4:
{
  "formula": "Dy12Ho3Zr",
  "functional": "PBE-GGA",
  "state": "optimized geometry",
  "delta_e_f_ev_per_atom": 0.0360,
  "m_tot_mub_per_atom": 0.0000,
  "dos_at_fermi_per_ev_fu": 20.87,
  "dft_energy_ev_per_atom": -4.81,
  "lattice_angstrom": [[4.9751, 0.0000, 0.0000], [0.0000, 4.9751, 0.0000], [0.0000, 0.0000, 19.8246]],
  "species": ["Dy", "Dy", "Dy", "Dy", "Dy", "Dy", "Dy", "Dy", "Dy", "Dy", "Dy", "Dy", "Ho", "Ho", "Ho", "Zr"],
  "frac_coords": [[0.0000, 0.0000, 0.0000], [0.0000, 0.0000, 0.2472], [0.0000, 0.0000, 0.5000], [0.0000, 0.0000, 0.7528], [0.0000, 0.5000, 0.1183], [0.0000, 0.5000, 0.3732], [0.0000, 0.5000, 0.6268], [0.0000, 0.5000, 0.8817], [0.5000, 0.0000, 0.1183], [0.5000, 0.0000, 0.3732], [0.5000, 0.0000, 0.6268], [0.5000, 0.0000, 0.8817], [0.5000, 0.5000, 0.2479], [0.5000, 0.5000, 0.5000], [0.5000, 0.5000, 0.7521], [0.5000, 0.5000, 0.0000]]
}

---

Entry 5:
{
  "formula": "Dy3Ho12Zr",
  "functional": "PBE-GGA",
  "state": "optimized geometry",
  "delta_e_f_ev_per_atom": 0.0352,
  "m_tot_mub_per_atom": 0.0000,
  "dos_at_fermi_per_ev_fu": 20.63,
  "dft_energy_ev_per_atom": -4.80,
  "lattice_angstrom": [[4.9592, 0.0000, 0.0000], [0.0000, 4.9592, 0.0000], [0.0000, 0.0000, 19.7820]],
  "species": ["Dy", "Dy", "Dy", "Ho", "Ho", "Ho", "Ho", "Ho", "Ho", "Ho", "Ho", "Ho", "Ho", "Ho", "Ho", "Zr"],
  "frac_coords": [[0.0000, 0.0000, 0.0000], [0.0000, 0.0000, 0.2522], [0.0000, 0.0000, 0.7478], [0.0000, 0.5000, 0.1269], [0.0000, 0.5000, 0.3821], [0.0000, 0.5000, 0.6179], [0.0000, 0.5000, 0.8731], [0.5000, 0.0000, 0.1269], [0.5000, 0.0000, 0.3821], [0.5000, 0.0000, 0.6179], [0.5000, 0.0000, 0.8731], [0.5000, 0.5000, 0.0000], [0.5000, 0.5000, 0.2530], [0.5000, 0.5000, 0.5000], [0.5000, 0.5000, 0.7470], [0.0000, 0.0000, 0.5000]]
}

---

Entry 6:
{
  "formula": "Dy6Ho4Zr",
  "functional": "PBE-GGA",
  "state": "optimized geometry",
  "delta_e_f_ev_per_atom": 0.1532,
  "m_tot_mub_per_atom": 0.1113,
  "dos_at_fermi_per_ev_fu": 16.96,
  "dft_energy_ev_per_atom": -4.80,
  "lattice_angstrom": [[8.6950, 0.0000, 0.0000], [0.0000, 8.6950, 0.0000], [0.0000, 0.0000, 8.8851]],
  "species": ["Dy", "Dy", "Dy", "Dy", "Dy", "Dy", "Dy", "Dy", "Dy", "Dy", "Dy", "Dy", "Ho", "Ho", "Ho", "Ho", "Ho", "Ho", "Ho", "Ho", "Zr", "Zr"],
  "frac_coords": [[0.0000, 0.0000, 0.1749], [0.0000, 0.0000, 0.8251], [0.1507, 0.3456, 0.5000], [0.1544, 0.3493, 0.0000], [0.3456, 0.8493, 0.5000], [0.3493, 0.8456, 0.0000], [0.5000, 0.5000, 0.3251], [0.5000, 0.5000, 0.6749], [0.6507, 0.1544, 0.0000], [0.6544, 0.1507, 0.5000], [0.8456, 0.6507, 0.0000], [0.8493, 0.6544, 0.5000], [0.1459, 0.6459, 0.2500], [0.1459, 0.6459, 0.7500], [0.3541, 0.1459, 0.2500], [0.3541, 0.1459, 0.7500], [0.6459, 0.8541, 0.2500], [0.6459, 0.8541, 0.7500], [0.8541, 0.3541, 0.2500], [0.8541, 0.3541, 0.7500], [0.0000, 0.0000, 0.5000], [0.5000, 0.5000, 0.0000]]
}

---

Entry 7:
{
  "formula": "Dy12Ho2Zr",
  "functional": "PBE-GGA",
  "state": "optimized geometry",
  "delta_e_f_ev_per_atom": 0.1155,
  "m_tot_mub_per_atom": 0.0000,
  "dos_at_fermi_per_ev_fu": 22.75,
  "dft_energy_ev_per_atom": -4.75,
  "lattice_angstrom": [[3.5728, -5.6209, 0.0000], [3.5728, 5.6209, 0.0000], [-1.7604, 0.0000, 23.2041]],
  "species": ["Dy", "Dy", "Dy", "Dy", "Dy", "Dy", "Dy", "Dy", "Dy", "Dy", "Dy", "Dy", "Dy", "Dy", "Dy", "Dy", "Dy", "Dy", "Dy", "Dy", "Dy", "Dy", "Dy", "Dy", "Ho", "Ho", "Ho", "Ho", "Zr", "Zr"],
  "frac_coords": [[0.0343, 0.0343, 0.1377], [0.0481, 0.5481, 0.1906], [0.1041, 0.1041, 0.4234], [0.1095, 0.6096, 0.4418], [0.1692, 0.6693, 0.6796], [0.2330, 0.7326, 0.9366], [0.2674, 0.7670, 0.0634], [0.3307, 0.8308, 0.3204], [0.3904, 0.8905, 0.5582], [0.3960, 0.3960, 0.5765], [0.4519, 0.9519, 0.8094], [0.4651, 0.4651, 0.8612], [0.5349, 0.5349, 0.1388], [0.5481, 0.0481, 0.1906], [0.6040, 0.6040, 0.4235], [0.6096, 0.1095, 0.4418], [0.6693, 0.1692, 0.6796], [0.7326, 0.2330, 0.9366], [0.7670, 0.2674, 0.0634], [0.8308, 0.3307, 0.3204], [0.8905, 0.3904, 0.5582], [0.8959, 0.8959, 0.5766], [0.9519, 0.4519, 0.8094], [0.9657, 0.9657, 0.8623], [0.1800, 0.1800, 0.7187], [0.3208, 0.3208, 0.2813], [0.6792, 0.6792, 0.7187], [0.8200, 0.8200, 0.2813], [0.2192, 0.2192, 0.9999], [0.7808, 0.7808, 0.0001]]
}

---

Entry 8:
{
  "formula": "DyHo3Zr",
  "functional": "PBE-GGA",
  "state": "optimized geometry",
  "delta_e_f_ev_per_atom": 0.0621,
  "m_tot_mub_per_atom": 0.0000,
  "dos_at_fermi_per_ev_fu": 6.66,
  "relative_energy_mev_per_atom": 0.0,
  "dft_energy_ev_per_atom": -5.31,
  "lattice_angstrom": [[3.4427, 0.0000, 0.0000], [-1.7187, 8.9880, 0.0000], [-0.0087, -2.6918, 9.4245]],
  "species": ["Dy", "Dy", "Ho", "Ho", "Ho", "Ho", "Ho", "Ho", "Zr", "Zr"],
  "frac_coords": [[0.1035, 0.2066, 0.0590], [0.8965, 0.7934, 0.9410], [0.1065, 0.2131, 0.5457], [0.2966, 0.5925, 0.1583], [0.4978, 0.9950, 0.7496], [0.5022, 0.0050, 0.2504], [0.7034, 0.4075, 0.8417], [0.8935, 0.7869, 0.4543], [0.2950, 0.5912, 0.6374], [0.7050, 0.4088, 0.3626]]
}

---

Entry 9:
{
  "formula": "Dy2Ho12Zr",
  "functional": "PBE-GGA",
  "state": "optimized geometry",
  "delta_e_f_ev_per_atom": 0.1545,
  "m_tot_mub_per_atom": 0.0000,
  "dos_at_fermi_per_ev_fu": 26.80,
  "dft_energy_ev_per_atom": -4.69,
  "lattice_angstrom": [[3.5194, 0.0000, 0.0000], [0.0000, 5.4784, 0.0000], [-1.0473, 0.0000, 24.1101]],
  "species": ["Dy", "Dy", "Ho", "Ho", "Ho", "Ho", "Ho", "Ho", "Ho", "Ho", "Ho", "Ho", "Ho", "Ho", "Zr"],
  "frac_coords": [[0.1847, 0.0000, 0.2749], [0.8153, 0.0000, 0.7251], [0.1521, 0.0000, 0.1232], [0.2356, 0.5000, 0.4446], [0.2516, 0.5000, 0.9409], [0.2698, 0.0000, 0.5759], [0.2986, 0.5000, 0.6702], [0.3434, 0.5000, 0.8030], [0.6566, 0.5000, 0.1970], [0.7014, 0.5000, 0.3298], [0.7302, 0.0000, 0.4241], [0.7484, 0.5000, 0.0591], [0.7644, 0.5000, 0.5554], [0.8479, 0.0000, 0.8768], [0.5000, 0.0000, 0.0000]]
}

---

Entry 10:
{
  "formula": "DyHoZr2",
  "functional": "PBE-GGA",
  "state": "optimized geometry",
  "delta_e_f_ev_per_atom": 0.1196,
  "m_tot_mub_per_atom": 0.0000,
  "dos_at_fermi_per_ev_fu": 5.73,
  "relative_energy_mev_per_atom": 38.5,
  "dft_energy_ev_per_atom": -6.45,
  "lattice_angstrom": [[1.6674, 0.9627, 10.9634], [-1.6674, 0.9627, 10.9634], [0.0000, -1.9254, 10.9634]],
  "species": ["Dy", "Ho", "Zr", "Zr"],
  "frac_coords": [[0.0000, 0.0000, 0.0000], [0.5000, 0.5000, 0.5000], [0.2499, 0.2499, 0.2499], [0.7501, 0.7501, 0.7501]]
}